Compound: PmScCuAs
Source: Alexandria via LeMat-Bulk
Functional: GGA-PBE
Structure: relaxed

Properties
total magnetic moment: 0.0 Bohr magnetons per cell
energy: -5.51 eV/atom
SG: F-43m, No. 216
calculated volume: 20.6 Å³ per atom
ΔH_f (0 K): -0.550 eV per atom

a b c (Å): 4.888 4.888 4.888
angles (deg): 60.00 60.00 60.00
Positions (direct):
Pm: 0.000 0.000 0.000
Sc: 0.500 0.500 0.500
Cu: 0.750 0.750 0.750
As: 0.250 0.250 0.250

***

Compound: FeCu2Ni8
Source: Alexandria via LeMat-Bulk
Functional: GGA-PBE
Structure: relaxed

Properties
total magnetic moment: 7.1 Bohr magnetons per cell
energy: -5.73 eV/atom
SG: C2/m, No. 12
calculated volume: 11.1 Å³ per atom
energy above the most stable polymorph in this dataset: 0 meV/atom
ΔH_f (0 K): -0.010 eV per atom

a b c (Å): 6.626 6.626 5.597
angles (deg): 104.69 104.69 31.04
Positions (direct):
Fe: 0.000 0.000 0.000
Cu: 0.273 0.273 0.364
Cu: 0.727 0.727 0.636
Ni: 0.089 0.089 0.451
Ni: 0.181 0.181 0.909
Ni: 0.366 0.366 0.825
Ni: 0.456 0.456 0.274
Ni: 0.544 0.544 0.726
Ni: 0.634 0.634 0.175
Ni: 0.819 0.819 0.091
Ni: 0.911 0.911 0.549

***

Copy entry 1 word for word.
Compound: PmScCuAs
Source: Alexandria via LeMat-Bulk
Functional: GGA-PBE
Structure: relaxed

Properties
total magnetic moment: 0.0 Bohr magnetons per cell
energy: -5.51 eV/atom
SG: F-43m, No. 216
calculated volume: 20.6 Å³ per atom
ΔH_f (0 K): -0.550 eV per atom

a b c (Å): 4.888 4.888 4.888
angles (deg): 60.00 60.00 60.00
Positions (direct):
Pm: 0.000 0.000 0.000
Sc: 0.500 0.500 0.500
Cu: 0.750 0.750 0.750
As: 0.250 0.250 0.250